1.
! Na3CdO, relaxed, DFT PBE-GGA; values from VASP
! density of states at the Fermi level = 1.4041 states/eV/atom
! formation energy without anion corrections = 0.4514 eV/atom
! symmetry = Pm-3m (221)
! calculated total energy = -1.515 eV/atom
&SYSTEM
  ibrav = 0, nat = 5, ntyp = 3
/
ATOMIC_SPECIES
Na 22.99 Na.upf
O 16.00 O.upf
Cd 112.41 Cd.upf
CELL_PARAMETERS angstrom
5.586 0.000 0.000
0.000 5.586 0.000
0.000 0.000 5.586
ATOMIC_POSITIONS angstrom
Na 0.000 2.793 0.000
Na 0.000 0.000 2.793
Na 2.793 0.000 0.000
O 2.793 2.793 2.793
Cd 0.000 0.000 0.000

2.
! NaCd2O2, relaxed, DFT PBE-GGA; values from VASP
! density of states at the Fermi level = 0.2514 states/eV/atom
! formation energy without anion corrections = -0.4983 eV/atom
! symmetry = P4/mbm (127)
! calculated total energy = -3.111 eV/atom
&SYSTEM
  ibrav = 0, nat = 10, ntyp = 3
/
ATOMIC_SPECIES
Na 22.99 Na.upf
O 16.00 O.upf
Cd 112.41 Cd.upf
CELL_PARAMETERS angstrom
-4.180 -2.615 5.252
-2.562 -4.987 -4.522
2.255 -1.919 0.839
ATOMIC_POSITIONS angstrom
Na 0.000 0.000 0.000
Na -3.371 -3.801 0.365
O -1.545 -5.021 -1.691
O -3.858 -6.765 0.539
O -2.943 -4.500 3.260
O -0.629 -2.756 1.029
Cd -3.763 -5.292 -1.992
Cd -5.248 -5.421 1.702
Cd -2.979 -2.310 2.722
Cd -1.494 -2.181 -0.973

3.
! Na2Cd3O4, relaxed, DFT PBE-GGA; values from VASP
! density of states at the Fermi level = 0.1760 states/eV/atom
! formation energy without anion corrections = -1.1077 eV/atom
! symmetry = C2/m (12)
! calculated total energy = -3.909 eV/atom
&SYSTEM
  ibrav = 0, nat = 9, ntyp = 3
/
ATOMIC_SPECIES
Na 22.99 Na.upf
Cd 112.41 Cd.upf
O 16.00 O.upf
CELL_PARAMETERS angstrom
3.273 0.000 0.805
1.479 5.639 1.042
-0.095 0.355 7.440
ATOMIC_POSITIONS angstrom
Na 2.182 0.955 5.238
Na 2.475 5.038 4.049
Cd 0.000 0.000 0.000
Cd 1.248 2.371 1.983
Cd 3.409 3.623 7.304
O 2.741 0.960 2.969
O 1.917 5.033 6.318
O 1.695 1.990 7.220
O 2.962 4.004 2.067

4.
! Na3Cd2OsO6, relaxed, DFT PBE-GGA; values from VASP
! density of states at the Fermi level = 0.1860 states/eV/atom
! formation energy without anion corrections = -1.2639 eV/atom
! symmetry = C2/m (12)
! calculated total energy = -5.161 eV/atom
&SYSTEM
  ibrav = 0, nat = 12, ntyp = 4
/
ATOMIC_SPECIES
Na 22.99 Na.upf
Cd 112.41 Cd.upf
Os 190.23 Os.upf
O 16.00 O.upf
CELL_PARAMETERS angstrom
5.754 0.013 -0.018
-2.864 4.990 -0.018
-0.980 -1.697 5.437
ATOMIC_POSITIONS angstrom
Na -1.928 3.318 2.701
Na 3.837 -0.011 2.701
Na 0.955 1.653 2.701
Cd 0.004 3.334 -0.018
Cd 2.886 1.670 -0.018
Os 0.000 0.000 0.000
O 2.743 1.879 4.238
O 2.059 3.565 1.091
O -0.833 1.428 1.163
O 0.257 3.315 4.238
O -0.149 -0.259 4.310
O 1.653 -0.008 1.163